Entry 1:
PBE-GGA Na5YTl6, relaxed; raw total energy = -2.411 eV/atom; volume = 330.96 Å³ per cell; symmetry = Cmmm
1.0
-4.009 3.135 1.306
-2.110 0.501 -7.680
-6.660 -4.748 1.520
Y Na Tl
1 5 6
Direct
0.000 0.000 0.000 Y
0.670 0.500 0.661 Na
0.332 0.000 0.337 Na
0.000 0.500 0.000 Na
0.668 0.000 0.663 Na
0.330 0.500 0.339 Na
0.834 0.756 0.333 Tl
0.834 0.244 0.333 Tl
0.500 0.248 0.000 Tl
0.500 0.752 0.000 Tl
0.166 0.756 0.667 Tl
0.166 0.244 0.667 Tl

***

Entry 2:
PBE-GGA MgTi2NbBi, relaxed; raw total energy = -5.165 eV/atom; volume = 110.39 Å³ per cell; symmetry = P4/mmm
1.0
-3.985 -0.771 -2.490
2.604 -0.193 -4.109
0.552 -4.695 0.570
Mg Nb Bi Ti
1 1 1 2
Direct
0.000 0.000 0.000 Mg
0.000 0.500 0.000 Nb
0.500 0.500 0.500 Bi
0.000 0.000 0.500 Ti
0.500 0.000 0.000 Ti

***

Entry 3:
PBE-GGA ZrGaCu, relaxed; raw total energy = -5.473 eV/atom; volume = 102.43 Å³ per cell; symmetry = P6_3/mmc
1.0
4.010 -2.315 0.000
0.000 4.630 0.000
0.000 0.000 5.518
Cu Ga Zr
2 2 2
Direct
0.000 0.000 0.000 Cu
0.000 0.000 0.500 Cu
0.333 0.667 0.250 Ga
0.667 0.333 0.750 Ga
0.333 0.667 0.750 Zr
0.667 0.333 0.250 Zr

***

Entry 4:
PBE-GGA SrAcNdSm, relaxed; raw total energy = -3.619 eV/atom; volume = 162.43 Å³ per cell; symmetry = F-43m
1.0
-1.462 -4.490 3.899
1.274 -5.821 -1.416
4.410 -2.991 3.019
Sr Ac Nd Sm
1 1 1 1
Direct
0.250 0.250 0.250 Sr
0.750 0.750 0.750 Ac
0.500 0.500 0.500 Nd
0.000 0.000 0.000 Sm

***

Entry 5:
PBE-GGA SmCd8Cu4, relaxed; raw total energy = -2.283 eV/atom; volume = 249.61 Å³ per cell; symmetry = I4/mmm
1.0
4.983 0.000 2.003
2.491 6.818 1.001
-0.051 0.000 7.327
Sm Cd Cu
1 8 4
Direct
0.000 0.000 0.000 Sm
0.000 0.341 0.659 Cd
0.000 0.659 0.341 Cd
0.341 0.659 0.659 Cd
0.659 0.341 0.341 Cd
0.500 0.784 0.216 Cd
0.500 0.216 0.784 Cd
0.284 0.216 0.216 Cd
0.716 0.784 0.784 Cd
0.000 0.000 0.500 Cu
0.500 0.000 0.500 Cu
0.000 0.500 0.000 Cu
0.500 0.500 0.000 Cu